A plane-wave DFT calculation with PBE+U was carried out for a relaxed structure of V6O7F5.

abc: 5.7292 6.0537 6.1535
angles: 101.42 98.86 99.92
Closest atoms and distances in Å follow each position.
Fractional coordinates of all 18 atoms:
F 0.9472 0.3502 0.0982  2 V 2.03-2.06
F 0.0572 0.6794 0.8817  2 V 2.00-2.01
F 0.9117 0.0877 0.6830  2 V 2.02-2.08
F 0.6771 0.9097 0.0639  2 V 2.02-2.06
F 0.3285 0.0838 0.9241  2 V 2.02-2.08
V 0.5990 0.3205 0.1408  2 F 2.02-2.03, 4 O 2.05-2.12
V 0.8460 0.4004 0.6620  4 O 1.98-2.11, 2 F 2.01-2.02
V 0.1595 0.6181 0.3499  5 O 1.87-2.07, 1 F 2.06
V 0.3120 0.1310 0.5962  5 O 1.99-2.19, 1 F 2.08
V 0.4001 0.6756 0.8525  4 O 1.99-2.17, 2 F 2.00-2.02
V 0.7021 0.8645 0.3896  5 O 2.03-2.23, 2 F 2.06-2.08
O 0.1808 0.4217 0.5680  4 V 1.96-2.14
O 0.5716 0.1708 0.4094  4 V 2.03-2.11
O 0.8133 0.5680 0.4173  4 V 1.98-2.09
O 0.5757 0.4182 0.8271  4 V 1.98-2.19
O 0.4041 0.5822 0.1756  2 V 1.91-2.09
O 0.4385 0.8180 0.5849  4 V 2.01-2.13
O 0.0686 0.9006 0.3542  2 V 1.87-1.99

Values from the calculation:
Theoretical density   4.2 g cm⁻³
Symmetry   P1
Relative energy among the computed polymorphs   1.18 kcal/mol of atoms